InFeCo PBE relaxed; symmetry = I4mm, No. 107; energy above the most stable polymorph in this dataset = 0.0000 eV/atom
1.0
5.129 -0.259 0.278
4.371 2.696 0.277
0.758 0.195 2.949
Fe In Co
1 1 1
Direct
0.354 0.354 0.646
0.665 0.665 0.335
0.981 0.981 0.019